Crystalline Dy4Ho7In at its relaxed geometry, computed with PBE.

a b c (Å): 5.826 11.520 6.694
angles (deg): 79.82 64.20 75.35
Positions (direct):
In  0.000  0.000  0.000
Ho  0.097  0.721  0.085
Ho  0.500  0.000  0.000
Ho  0.201  0.080  0.518
Dy  0.148  0.378  0.326
Dy  0.369  0.770  0.492
Dy  0.631  0.230  0.508
Ho  0.369  0.475  0.787
Ho  0.631  0.525  0.213
Ho  0.799  0.920  0.482
Ho  0.903  0.279  0.915
Dy  0.852  0.622  0.674

## Properties
The space group is No. 12. The magnetization is 0.00 μB per cell.



Crystalline DyHoIn2 at its relaxed geometry, computed with PBE.

a b c (Å): 5.305 5.305 5.305
angles (deg): 60.00 60.00 60.00
Positions (direct):
In  0.250  0.250  0.250
In  0.750  0.750  0.750
Dy  0.500  0.500  0.500
Ho  0.000  0.000  0.000

## Properties
The space group is No. 225. The magnetization is 0.00 μB per cell.



Crystalline Dy6Ho8In at its relaxed geometry, computed with PBE.

a b c (Å): 6.654 9.119 9.119
angles (deg): 120.00 90.00 90.00
Positions (direct):
Ho  0.881  0.315  0.008
Ho  0.119  0.685  0.992
Ho  0.119  0.307  0.315
Dy  0.391  0.321  0.922
Dy  0.609  0.922  0.601
In  0.500  0.000  0.000
Dy  0.609  0.399  0.321
Ho  0.119  0.008  0.693
Dy  0.609  0.679  0.078
Dy  0.391  0.601  0.679
Ho  0.881  0.992  0.307
Ho  0.174  0.667  0.333
Ho  0.826  0.333  0.667
Ho  0.881  0.693  0.685
Dy  0.391  0.078  0.399

## Properties
The space group is No. 147. The magnetization is 0.00 μB per cell.



ΔE_f list, top to bottom, in eV per atom: 0.196 -0.461 0.194
Energy above the lowest structure with this stoichiometry list, top to bottom, in eV per formula unit: 1.98 0.00 2.56